10
Lattice="4.808 0.000 0.000 0.000 4.808 0.000 0.000 0.000 11.217" Properties=species:S:1:pos:R:3 comment="PBE Sr2Sb4PtAu3, relaxed" space_group="P-4m2, No. 115" pbc="T T T"
Au 2.404 0.000 9.641
Au 0.000 2.404 1.576
Au 0.000 0.000 5.608
Sb 2.404 0.000 6.966
Sb 2.404 2.404 0.000
Sb 0.000 2.404 4.251
Sb 0.000 0.000 0.000
Pt 2.404 2.404 5.608
Sr 0.000 2.404 8.219
Sr 2.404 0.000 2.998

=====

10
Lattice="-3.529 0.862 3.005 0.181 -4.468 1.494 6.956 2.749 7.380" Properties=species:S:1:pos:R:3 comment="PBE Sr2Sb3Pt4Au, relaxed" space_group="P-4m2, No. 115" pbc="T T T"
Sb 0.960 -1.890 1.670
Sb 3.478 1.375 3.690
Sb 4.322 2.837 7.959
Pt 2.608 2.159 6.140
Pt 0.000 0.000 0.000
Pt 2.675 -1.212 3.489
Pt -1.674 -1.803 2.250
Sr 0.005 1.130 3.379
Sr 5.278 -0.184 6.250
Au 1.804 -0.428 5.939

=====

4
Lattice="-0.002 3.151 -3.799 2.068 -1.303 -4.288 -2.838 -0.886 -3.940" Properties=species:S:1:pos:R:3 comment="PBE TbSbPtAu, relaxed" space_group="F-43m, No. 216" pbc="T T T"
Sb -0.386 0.481 -6.014
Tb 0.000 0.000 0.000
Au -0.193 0.240 -3.007
Pt -0.579 0.721 -9.021

=====

Number 1: E_form (uncorrected) -570 meV/atom. Number 2: E_form (uncorrected) -731 meV/atom. Number 3: E_form (uncorrected) -716 meV/atom.